## SrPtBr2 (PBE)

Data for a geometry-optimized SrPtBr2 structure.

Cell lengths 5.2350, 5.2350, 17.2741 Å; angles 90.00, 90.00, 90.00 degrees
Space group I-42d (No. 122)
Unique sites:
1 Sr 0.0000 0.0000 0.0000 x4
2 Pt 0.0000 0.0000 0.5000 x4
3 Br 0.1988 0.2500 0.6250 x8

Computed properties:
Its crystal system is tetragonal. The uncorrected formation energy is -0.764 eV/atom. Its energy above the most stable polymorph in this dataset is 380 meV per atom.

=====

## Na2TiSnCl8 (PBE)

Data for a geometry-optimized Na2TiSnCl8 structure.

Cell lengths 6.2813, 8.1633, 6.5202 Å; angles 90.00, 92.72, 90.00 degrees
Space group P2/m (No. 10)
Unique sites:
1 Na 0.0000 0.2480 0.0000 x2
2 Ti 0.5000 0.0000 0.5000 x1
3 Sn 0.5000 0.5000 0.5000 x1
4 Cl 0.2225 0.5000 0.1726 x2
5 Cl 0.2573 0.0000 0.2119 x2
6 Cl 0.2978 0.2089 0.6543 x4

Computed properties:
Its crystal system is monoclinic. The uncorrected formation energy is -1.466 eV/atom.

=====

## Sc3Ag (PBE)

Data for a geometry-optimized Sc3Ag structure.

Cell lengths 4.2284, 4.2284, 9.8878 Å; angles 90.00, 90.00, 90.00 degrees
Space group I4/mmm (No. 139)
Unique sites:
1 Sc 0.0000 0.0000 0.0000 x2
2 Sc 0.0000 0.5000 0.2500 x4
3 Ag 0.0000 0.0000 0.5000 x2

Computed properties:
Its crystal system is tetragonal. Its formation energy is -0.0040 eV per atom. Its energy above the most stable polymorph in this dataset is 127 meV per atom.

=====

## LaPmAg2 (PBE)

Data for a geometry-optimized LaPmAg2 structure.

Cell lengths 7.5634, 7.5634, 7.5634 Å; angles 90.00, 90.00, 90.00 degrees
Space group Fm-3m (No. 225)
Unique sites:
1 La 0.0000 0.0000 0.0000 x4
2 Pm 0.0000 0.0000 0.5000 x4
3 Ag 0.2500 0.2500 0.2500 x8

Computed properties:
Its crystal system is cubic. Its formation energy is -0.2543 eV per atom. Its energy above the most stable polymorph in this dataset is 11 meV per atom.

=====

## HgB3P (PBE)

Data for a geometry-optimized HgB3P structure.

Cell lengths 4.3336, 4.3336, 4.3336 Å; angles 90.00, 90.00, 90.00 degrees
Space group Pm-3m (No. 221)
Unique sites:
1 Hg 0.0000 0.0000 0.0000 x1
2 B 0.0000 0.0000 0.5000 x3
3 P 0.5000 0.5000 0.5000 x1

Computed properties:
Its crystal system is cubic. Its formation energy is 2.4583 eV per atom. Its energy above the most stable polymorph in this dataset is 983 meV per atom.

=====

## Nd7Cd2Sn2 (PBE)

Data for a geometry-optimized Nd7Cd2Sn2 structure.

Cell lengths 8.1411, 11.4517, 8.0386 Å; angles 90.00, 90.00, 90.00 degrees
Space group Cmmm (No. 65)
Unique sites:
1 Nd 0.0000 0.0000 0.0000 x2
2 Nd 0.0000 0.5000 0.2694 x4
3 Nd 0.2500 0.2500 0.2876 x8
4 Cd 0.1697 0.0000 0.5000 x4
5 Sn 0.0000 0.2951 0.0000 x4

Computed properties:
Its crystal system is orthorhombic. Its formation energy is -0.1745 eV per atom.

=====

## RbAl2Zn2 (PBE)

Data for a geometry-optimized RbAl2Zn2 structure.

Cell lengths 4.3842, 4.3842, 12.2073 Å; angles 90.00, 90.00, 90.00 degrees
Space group I4/mmm (No. 139)
Unique sites:
1 Rb 0.0000 0.0000 0.0000 x2
2 Al 0.0000 0.5000 0.2500 x4
3 Zn 0.0000 0.0000 0.3757 x4

Computed properties:
Its crystal system is tetragonal. Its formation energy is 0.1177 eV per atom. Its energy above the most stable polymorph in this dataset is 0 meV per atom.

=====

## SrMgGaO2 (PBE)

Data for a geometry-optimized SrMgGaO2 structure.

Cell lengths 4.5526, 4.5526, 6.0886 Å; angles 90.00, 90.00, 90.00 degrees
Space group P4/mmm (No. 123)
Unique sites:
1 Sr 0.0000 0.0000 0.0000 x1
2 Mg 0.5000 0.5000 0.5000 x1
3 Ga 0.0000 0.0000 0.5000 x1
4 O 0.0000 0.5000 0.0000 x2

Computed properties:
Its crystal system is tetragonal. The uncorrected formation energy is -0.188 eV/atom.

=====

## InBr2Cl (PBE)

Data for a geometry-optimized InBr2Cl structure.

Cell lengths 4.1727, 4.1727, 21.8272 Å; angles 90.00, 90.00, 120.00 degrees
Space group R-3m (No. 166, hexagonal axes)
Unique sites:
1 In 0.0000 0.0000 0.0000 x3
2 Br 0.0000 0.0000 0.2638 x6
3 Cl 0.0000 0.0000 0.5000 x3

Computed properties:
Its crystal system is trigonal. The uncorrected formation energy is -0.394 eV/atom. Its energy above the most stable polymorph in this dataset is 516 meV per atom.

=====

## FeCo3N3 (PBE)

Data for a geometry-optimized FeCo3N3 structure.

Cell lengths 6.3355, 6.3355, 3.8594 Å; angles 90.00, 90.00, 120.00 degrees
Space group P6_3/m (No. 176)
Unique sites:
1 Fe 0.3333 0.6667 0.2500 x2
2 Co 0.1790 0.3590 0.7500 x6
3 N 0.1698 0.3412 0.2500 x6

Computed properties:
Its crystal system is hexagonal. The uncorrected formation energy is 0.221 eV/atom.

=====

## Li6Nd (PBE)

Data for a geometry-optimized Li6Nd structure.

Cell lengths 6.9161, 6.9161, 6.9161 Å; angles 90.00, 90.00, 90.00 degrees
Space group Im-3m (No. 229)
Unique sites:
1 Li 0.0000 0.2500 0.5000 x12
2 Nd 0.0000 0.0000 0.0000 x2

Computed properties:
Its crystal system is cubic. Its formation energy is 0.3449 eV per atom.

=====

## BaMn2Au (PBE)

Data for a geometry-optimized BaMn2Au structure.

Cell lengths 3.6516, 4.2457, 6.9552 Å; angles 90.00, 105.03, 90.00 degrees
Space group Pm (No. 6)
Unique sites:
1 Ba 0.0000 0.0000 0.0000 x1
2 Mn 0.2427 0.0000 0.4787 x1
3 Mn 0.7088 0.5000 0.4109 x1
4 Au 0.3611 0.5000 0.7184 x1

Computed properties:
Its crystal system is monoclinic. Its formation energy is 0.3101 eV per atom.

=====

no.,ρ (Mg/m³),M_tot (μB/cell)
1,6.209,0.00
2,2.467,0.07
3,4.560,0.84
4,7.671,0.00
5,5.387,0.00
6,6.523,0.18
7,3.825,0.00
8,2.811,0.00
9,4.693,0.00
10,6.797,0.00
11,1.866,0.00
12,7.082,8.17